## Li5Fe7O3F13 (GGA+U)

Data for an optimized crystal structure of Li5Fe7O3F13.

- excess energy over the best structure of this formula in the dataset (eV per atom) = 0.481
- symmetry = P1, No. 1
- total magnetization (μB/atom) = 0.14

a b c (Å): 5.495 5.903 11.984
angles (deg): 77.72 78.91 67.69
Element x y z (fractional)
Li 0.000 0.000 0.000
Li 0.018 0.722 0.832
Li 0.100 0.591 0.215
Li 0.197 0.028 0.523
Li 0.480 0.882 0.856
Fe 0.394 0.010 0.152
Fe 0.428 0.428 0.616
Fe 0.464 0.679 0.368
Fe 0.507 0.372 0.926
Fe 0.727 0.532 0.086
Fe 0.900 0.607 0.500
Fe 0.906 0.357 0.760
O 0.417 0.673 0.209
O 0.507 0.716 0.519
O 0.786 0.536 0.906
F 0.070 0.309 0.167
F 0.077 0.864 0.415
F 0.234 0.709 0.942
F 0.291 0.342 0.488
F 0.310 0.155 0.734
F 0.316 0.108 0.973
F 0.476 0.532 0.758
F 0.595 0.256 0.091
F 0.813 0.064 0.862
F 0.843 0.803 0.111
F 0.853 0.554 0.344
F 0.864 0.249 0.611
F 0.999 0.646 0.661